# Ti2Cd2Mo, relaxed, DFT PBE
# E_form (meV/atom): 378
# E above lowest polymorph (meV per atom): 0
data_Ti2Cd2Mo
_symmetry_space_group_name_H-M 'P 1'
_symmetry_Int_Tables_number 1
_symmetry_space_group_name_Hall 'P 1'
_cell_length_a 6.5182
_cell_length_b 6.5182
_cell_length_c 4.5402
_cell_angle_alpha 90.00
_cell_angle_beta 90.00
_cell_angle_gamma 90.00
loop_
_atom_site_label
_atom_site_fract_x
_atom_site_fract_y
_atom_site_fract_z
_atom_site_occupancy
Cd1 0.3408 0.1592 0.5000 1
Cd2 0.8408 0.3408 0.5000 1
Cd3 0.6592 0.8408 0.5000 1
Cd4 0.1592 0.6592 0.5000 1
Ti1 0.8506 0.6494 0.0000 1
Ti2 0.6494 0.1494 0.0000 1
Ti3 0.1494 0.3506 0.0000 1
Ti4 0.3506 0.8506 0.0000 1
Mo1 0.0000 0.0000 0.0000 1
Mo2 0.5000 0.5000 0.0000 1

=====

# CsZn3O3, relaxed, DFT PBE
# E_form (uncorrected) (eV/atom): -1.13
# E above lowest polymorph (meV per atom): 0
data_CsZn3O3
_symmetry_space_group_name_H-M 'P 1'
_symmetry_Int_Tables_number 1
_symmetry_space_group_name_Hall 'P 1'
_cell_length_a 5.9256
_cell_length_b 5.9256
_cell_length_c 11.1571
_cell_angle_alpha 74.60
_cell_angle_beta 74.60
_cell_angle_gamma 60.00
loop_
_atom_site_label
_atom_site_fract_x
_atom_site_fract_y
_atom_site_fract_z
_atom_site_occupancy
Cs1 0.2873 0.2873 0.1381 1
Cs2 0.7127 0.7127 0.8619 1
Zn1 0.8552 0.5482 0.4008 1
Zn2 0.5482 0.1959 0.4008 1
Zn3 0.4518 0.8041 0.5992 1
Zn4 0.1448 0.4518 0.5992 1
Zn5 0.1959 0.8552 0.4008 1
Zn6 0.8041 0.1448 0.5992 1
O1 0.1185 0.7913 0.6173 1
O2 0.7913 0.4729 0.6173 1
O3 0.4729 0.1185 0.6173 1
O4 0.8815 0.2087 0.3827 1
O5 0.2087 0.5271 0.3827 1
O6 0.5271 0.8815 0.3827 1

=====

# Na3Ac2PrS6, relaxed, DFT PBE
# E_form (uncorrected) (eV/atom): -1.80
data_Na3Ac2PrS6
_symmetry_space_group_name_H-M 'P 1'
_symmetry_Int_Tables_number 1
_symmetry_space_group_name_Hall 'P 1'
_cell_length_a 4.2998
_cell_length_b 8.3443
_cell_length_c 9.4015
_cell_angle_alpha 100.28
_cell_angle_beta 103.22
_cell_angle_gamma 90.00
loop_
_atom_site_label
_atom_site_fract_x
_atom_site_fract_y
_atom_site_fract_z
_atom_site_occupancy
Na1 0.5000 0.5000 0.0000 1
Na2 0.8369 0.1692 0.6738 1
Na3 0.1631 0.8308 0.3262 1
S1 0.3398 0.9201 0.6795 1
S2 0.6679 0.5772 0.3358 1
S3 0.3321 0.4228 0.6642 1
S4 0.6602 0.0799 0.3205 1
S5 0.9987 0.7654 0.9974 1
S6 0.0013 0.2346 0.0026 1
Ac1 0.1660 0.3281 0.3320 1
Ac2 0.8340 0.6719 0.6680 1
Pr1 0.5000 0.0000 0.0000 1

=====

# AlPbSe2, relaxed, DFT PBE
# E_form (uncorrected) (eV/atom): -0.40
data_AlPbSe2
_symmetry_space_group_name_H-M 'P 1'
_symmetry_Int_Tables_number 1
_symmetry_space_group_name_Hall 'P 1'
_cell_length_a 3.7639
_cell_length_b 3.7639
_cell_length_c 7.6972
_cell_angle_alpha 90.00
_cell_angle_beta 90.00
_cell_angle_gamma 90.00
loop_
_atom_site_label
_atom_site_fract_x
_atom_site_fract_y
_atom_site_fract_z
_atom_site_occupancy
Al1 0.0000 0.0000 0.3153 1
Se1 0.0000 0.0000 0.9905 1
Se2 0.5000 0.5000 0.3866 1
Pb1 0.5000 0.5000 0.8077 1

=====

# Rb2MnNCl6, relaxed, DFT PBE
# E_form (uncorrected) (eV/atom): -0.76
data_Rb2MnNCl6
_symmetry_space_group_name_H-M 'P 1'
_symmetry_Int_Tables_number 1
_symmetry_space_group_name_Hall 'P 1'
_cell_length_a 7.6876
_cell_length_b 7.6876
_cell_length_c 7.0869
_cell_angle_alpha 57.15
_cell_angle_beta 57.15
_cell_angle_gamma 90.00
loop_
_atom_site_label
_atom_site_fract_x
_atom_site_fract_y
_atom_site_fract_z
_atom_site_occupancy
Cl1 0.7885 0.2115 0.0000 1
Cl2 0.2115 0.2115 0.0000 1
Cl3 0.2758 0.2758 0.4485 1
Cl4 0.7885 0.7885 0.0000 1
Cl5 0.7242 0.7242 0.5515 1
Cl6 0.2115 0.7885 0.0000 1
N1 0.5000 0.5000 0.0000 1
Rb1 0.7500 0.2500 0.5000 1
Rb2 0.2500 0.7500 0.5000 1
Mn1 0.0000 0.0000 0.0000 1

=====

# Rb2HgI, relaxed, DFT PBE
# E_form (uncorrected) (eV/atom): -0.75
# E above lowest polymorph (meV per atom): 84
data_Rb2HgI
_symmetry_space_group_name_H-M 'P 1'
_symmetry_Int_Tables_number 1
_symmetry_space_group_name_Hall 'P 1'
_cell_length_a 5.1313
_cell_length_b 5.1313
_cell_length_c 9.7283
_cell_angle_alpha 74.71
_cell_angle_beta 74.71
_cell_angle_gamma 60.00
loop_
_atom_site_label
_atom_site_fract_x
_atom_site_fract_y
_atom_site_fract_z
_atom_site_occupancy
Rb1 0.2528 0.2528 0.2416 1
Rb2 0.7472 0.7472 0.7584 1
I1 0.0000 0.0000 0.0000 1
Hg1 0.5000 0.5000 0.5000 1

=====

# La3Cu2, relaxed, DFT PBE
# E_form (meV/atom): 28
# E above lowest polymorph (meV per atom): 134
data_La3Cu2
_symmetry_space_group_name_H-M 'P 1'
_symmetry_Int_Tables_number 1
_symmetry_space_group_name_Hall 'P 1'
_cell_length_a 9.3097
_cell_length_b 8.2376
_cell_length_c 6.2762
_cell_angle_alpha 78.52
_cell_angle_beta 60.13
_cell_angle_gamma 41.35
loop_
_atom_site_label
_atom_site_fract_x
_atom_site_fract_y
_atom_site_fract_z
_atom_site_occupancy
La1 0.1534 0.3466 0.3466 1
La2 0.5169 0.7809 0.8724 1
La3 0.4691 0.7331 0.4202 1
La4 0.3776 0.4202 0.7331 1
La5 0.9034 0.0966 0.0966 1
La6 0.8298 0.8724 0.7809 1
Cu1 0.0475 0.3534 0.8966 1
Cu2 0.8966 0.2025 0.5476 1
Cu3 0.7024 0.8966 0.3534 1
Cu4 0.3534 0.5476 0.2025 1

=====

# ReSiTc, relaxed, DFT PBE
# E_form (uncorrected) (eV/atom): -0.32
# E above lowest polymorph (meV per atom): 0
data_ReSiTc
_symmetry_space_group_name_H-M 'P 1'
_symmetry_Int_Tables_number 1
_symmetry_space_group_name_Hall 'P 1'
_cell_length_a 5.1825
_cell_length_b 5.1825
_cell_length_c 5.1825
_cell_angle_alpha 147.13
_cell_angle_beta 147.13
_cell_angle_gamma 47.17
loop_
_atom_site_label
_atom_site_fract_x
_atom_site_fract_y
_atom_site_fract_z
_atom_site_occupancy
Tc1 0.6766 0.6766 0.0000 1
Re1 0.9915 0.9915 0.0000 1
Si1 0.3319 0.3319 0.0000 1